Entry 1:
Here is crystalline BaNiAs2 at its relaxed geometry from Alexandria via LeMat-Bulk. Energies are from GGA-PBE.

Geometry as CIF:
```
data_BaNiAs2
_chemical_formula_sum 'Ba1 Ni1 As2'
_symmetry_space_group_name_H-M 'P 1'
_symmetry_Int_Tables_number 1
_cell_length_a 4.076
_cell_length_b 4.076
_cell_length_c 7.241
_cell_angle_alpha 90.00
_cell_angle_beta 90.00
_cell_angle_gamma 119.57
loop_
_symmetry_equiv_pos_as_xyz
'x,y,z'
loop_
_atom_site_label
_atom_site_type_symbol
_atom_site_fract_x
_atom_site_fract_y
_atom_site_fract_z
As1 As 0.000 0.000 0.581
As2 As 0.000 0.000 0.919
Ba1 Ba 0.500 0.500 0.250
Ni1 Ni 0.500 0.500 0.750
```

***

Entry 2:
Here is crystalline BaNiAs2 at its relaxed geometry from Alexandria via LeMat-Bulk. Energies are from GGA-PBE.

Geometry as CIF:
```
data_BaNiAs2
_chemical_formula_sum 'Ba1 Ni1 As2'
_symmetry_space_group_name_H-M 'P 1'
_symmetry_Int_Tables_number 1
_cell_length_a 5.052
_cell_length_b 5.052
_cell_length_c 5.052
_cell_angle_alpha 60.00
_cell_angle_beta 60.00
_cell_angle_gamma 60.00
loop_
_symmetry_equiv_pos_as_xyz
'x,y,z'
loop_
_atom_site_label
_atom_site_type_symbol
_atom_site_fract_x
_atom_site_fract_y
_atom_site_fract_z
Ba1 Ba 0.500 0.500 0.500
Ni1 Ni 0.750 0.750 0.750
As1 As 0.000 0.000 0.000
As2 As 0.250 0.250 0.250
```

***

Entry 3:
Here is crystalline Ba2Ni12As7 at its relaxed geometry from Alexandria via LeMat-Bulk. Energies are from GGA-PBE.

Geometry as CIF:
```
data_Ba2Ni12As7
_chemical_formula_sum 'Ba2 Ni12 As7'
_symmetry_space_group_name_H-M 'P 1'
_symmetry_Int_Tables_number 1
_cell_length_a 3.989
_cell_length_b 9.632
_cell_length_c 9.632
_cell_angle_alpha 120.00
_cell_angle_beta 90.00
_cell_angle_gamma 90.00
loop_
_symmetry_equiv_pos_as_xyz
'x,y,z'
loop_
_atom_site_label
_atom_site_type_symbol
_atom_site_fract_x
_atom_site_fract_y
_atom_site_fract_z
Ni1 Ni 0.250 0.424 0.370
Ba1 Ba 0.247 0.333 0.667
Ba2 Ba 0.753 0.667 0.333
Ni2 Ni 0.224 0.119 0.248
Ni3 Ni 0.750 0.576 0.630
Ni4 Ni 0.776 0.871 0.119
Ni5 Ni 0.776 0.881 0.752
Ni6 Ni 0.224 0.752 0.871
As1 As 0.254 0.701 0.606
As2 As 0.254 0.394 0.096
As3 As 0.746 0.606 0.904
Ni7 Ni 0.250 0.630 0.055
Ni8 Ni 0.750 0.055 0.424
Ni9 Ni 0.224 0.129 0.881
Ni10 Ni 0.776 0.248 0.129
As4 As 0.746 0.096 0.701
As5 As 0.746 0.299 0.394
As6 As 0.254 0.904 0.299
As7 As 0.500 0.000 0.000
Ni11 Ni 0.750 0.370 0.945
Ni12 Ni 0.250 0.945 0.576
```

***

Entry 4:
Here is crystalline BaNiAs2 at its relaxed geometry from Alexandria via LeMat-Bulk. Energies are from GGA-PBE.

Geometry as CIF:
```
data_BaNiAs2
_chemical_formula_sum 'Ba2 Ni2 As4'
_symmetry_space_group_name_H-M 'P 1'
_symmetry_Int_Tables_number 1
_cell_length_a 4.162
_cell_length_b 4.162
_cell_length_c 11.548
_cell_angle_alpha 100.04
_cell_angle_beta 100.04
_cell_angle_gamma 91.85
loop_
_symmetry_equiv_pos_as_xyz
'x,y,z'
loop_
_atom_site_label
_atom_site_type_symbol
_atom_site_fract_x
_atom_site_fract_y
_atom_site_fract_z
As1 As 0.933 0.516 0.000
Ba1 Ba 0.126 0.126 0.237
Ba2 Ba 0.889 0.889 0.763
Ni1 Ni 0.759 0.259 0.500
Ni2 Ni 0.259 0.759 0.500
As2 As 0.516 0.933 0.000
As3 As 0.708 0.708 0.398
As4 As 0.310 0.310 0.602
```

***

Entry 5:
Here is crystalline Ba3NiAs at its relaxed geometry from Alexandria via LeMat-Bulk. Energies are from GGA-PBE.

Calculated values
For the energy above the most stable polymorph in this dataset, the calculation gives 0.0 meV/atom.

Geometry as CIF:
```
data_Ba3NiAs
_chemical_formula_sum 'Ba3 Ni1 As1'
_symmetry_space_group_name_H-M 'P 1'
_symmetry_Int_Tables_number 1
_cell_length_a 5.711
_cell_length_b 5.711
_cell_length_c 5.711
_cell_angle_alpha 90.00
_cell_angle_beta 90.00
_cell_angle_gamma 90.00
loop_
_symmetry_equiv_pos_as_xyz
'x,y,z'
loop_
_atom_site_label
_atom_site_type_symbol
_atom_site_fract_x
_atom_site_fract_y
_atom_site_fract_z
Ba1 Ba 0.000 0.500 0.000
As1 As 0.500 0.500 0.500
Ba2 Ba 0.000 0.000 0.500
Ba3 Ba 0.500 0.000 0.000
Ni1 Ni 0.000 0.000 0.000
```

***

Entry 6:
Here is crystalline BaNiAs2 at its relaxed geometry from Alexandria via LeMat-Bulk. Energies are from GGA-PBE.

Geometry as CIF:
```
data_BaNiAs2
_chemical_formula_sum 'Ba2 Ni2 As4'
_symmetry_space_group_name_H-M 'P 1'
_symmetry_Int_Tables_number 1
_cell_length_a 5.215
_cell_length_b 5.215
_cell_length_c 8.598
_cell_angle_alpha 72.35
_cell_angle_beta 72.35
_cell_angle_gamma 90.00
loop_
_symmetry_equiv_pos_as_xyz
'x,y,z'
loop_
_atom_site_label
_atom_site_type_symbol
_atom_site_fract_x
_atom_site_fract_y
_atom_site_fract_z
As1 As 0.875 0.625 0.750
Ni1 Ni 0.500 0.500 0.000
Ni2 Ni 0.250 0.750 0.500
As2 As 0.375 0.625 0.750
As3 As 0.375 0.625 0.250
Ba1 Ba 0.000 0.000 0.000
Ba2 Ba 0.750 0.250 0.500
As4 As 0.375 0.125 0.250
```

***

Entry 7:
Here is crystalline BaNiAs2 at its relaxed geometry from Alexandria via LeMat-Bulk. Energies are from GGA-PBE.

Geometry as CIF:
```
data_BaNiAs2
_chemical_formula_sum 'Ba1 Ni1 As2'
_symmetry_space_group_name_H-M 'P 1'
_symmetry_Int_Tables_number 1
_cell_length_a 5.433
_cell_length_b 5.433
_cell_length_c 5.433
_cell_angle_alpha 136.47
_cell_angle_beta 105.91
_cell_angle_gamma 90.05
loop_
_symmetry_equiv_pos_as_xyz
'x,y,z'
loop_
_atom_site_label
_atom_site_type_symbol
_atom_site_fract_x
_atom_site_fract_y
_atom_site_fract_z
As1 As 0.411 0.411 0.000
As2 As 0.089 0.089 0.000
Ba1 Ba 0.750 0.250 0.500
Ni1 Ni 0.250 0.750 0.500
```

***

Entry 8:
Here is crystalline BaNi9As4 at its relaxed geometry from Alexandria via LeMat-Bulk. Energies are from GGA-PBE.

Geometry as CIF:
```
data_BaNi9As4
_chemical_formula_sum 'Ba2 Ni18 As8'
_symmetry_space_group_name_H-M 'P 1'
_symmetry_Int_Tables_number 1
_cell_length_a 8.072
_cell_length_b 8.072
_cell_length_c 8.282
_cell_angle_alpha 119.17
_cell_angle_beta 119.16
_cell_angle_gamma 90.00
loop_
_symmetry_equiv_pos_as_xyz
'x,y,z'
loop_
_atom_site_label
_atom_site_type_symbol
_atom_site_fract_x
_atom_site_fract_y
_atom_site_fract_z
Ni1 Ni 0.794 0.071 0.000
Ni2 Ni 0.694 0.441 0.635
Ni3 Ni 0.500 0.000 0.000
Ba1 Ba 0.250 0.250 0.500
As1 As 0.706 0.206 0.755
As2 As 0.451 0.294 0.245
Ni4 Ni 0.929 0.794 0.000
Ni5 Ni 0.941 0.194 0.635
Ni6 Ni 0.571 0.294 0.000
Ni7 Ni 0.294 0.429 0.000
As3 As 0.794 0.951 0.245
Ni8 Ni 0.559 0.059 0.365
As4 As 0.206 0.049 0.755
As5 As 0.951 0.451 0.245
Ni9 Ni 0.071 0.206 0.000
Ni10 Ni 0.306 0.559 0.365
As6 As 0.049 0.549 0.755
Ni11 Ni 0.059 0.806 0.365
Ni12 Ni 0.806 0.306 0.365
Ba2 Ba 0.750 0.750 0.500
Ni13 Ni 0.429 0.706 0.000
Ni14 Ni 0.194 0.694 0.635
As7 As 0.549 0.706 0.755
As8 As 0.294 0.794 0.245
Ni15 Ni 0.206 0.929 0.000
Ni16 Ni 0.441 0.941 0.635
Ni17 Ni 0.706 0.571 0.000
Ni18 Ni 0.000 0.500 0.000
```

***

Per-record ΔH_f (0 K), eV per atom: -0.237, 0.171, -0.361, -0.671, -0.217, -0.544, -0.527, -0.283